(1)
Entry from Alexandria: a relaxed structure of Ac4PdPb8 (PBE).

a = 4.765 Å, b = 4.859 Å, c = 18.466 Å
α = 90.00°, β = 90.00°, γ = 90.00°
Fractional positions:
Ac1 0.000 0.000 0.000
Ac2 0.000 0.500 0.490
Ac3 0.500 0.000 0.789
Ac4 0.500 0.500 0.293
Pd1 0.000 0.500 0.709
Pb1 0.000 0.000 0.330
Pb2 0.000 0.000 0.630
Pb3 0.000 0.500 0.144
Pb4 0.000 0.500 0.856
Pb5 0.500 0.000 0.150
Pb6 0.500 0.000 0.447
Pb7 0.500 0.500 0.630
Pb8 0.500 0.500 0.968

Summary:
The calculation puts the size of the total moment at 0.0000 μB per atom. The space group is Pmm2, No. 25. As for the final energy: -57.2 eV for the cell shown. As for the volume: 32.88 A^3/atom. As for the calculated formation energy: -6.0 eV per formula unit.

---

(2)
Entry from Alexandria: a relaxed structure of BeInCu (PBE).

a = 4.051 Å, b = 4.051 Å, c = 4.051 Å
α = 60.00°, β = 60.00°, γ = 60.00°
Fractional positions:
Be1 0.000 0.000 0.000
In1 0.750 0.750 0.750
Cu1 0.250 0.250 0.250

Summary:
The calculation puts the size of the total moment at 0.0000 μB per atom. The space group is F-43m, No. 216. As for the final energy: -9.8 eV for the cell shown. As for the volume: 15.67 A^3/atom. As for the calculated formation energy: 0.8 eV per formula unit.

---

(3)
Entry from Alexandria: a relaxed structure of HfSc4Cd3 (PBE).

a = 3.290 Å, b = 3.290 Å, c = 16.541 Å
α = 90.00°, β = 90.00°, γ = 90.00°
Fractional positions:
Hf1 0.000 0.000 0.000
Sc1 0.500 0.500 0.129
Sc2 0.500 0.500 0.377
Sc3 0.500 0.500 0.623
Sc4 0.500 0.500 0.871
Cd1 0.000 0.000 0.255
Cd2 0.000 0.000 0.500
Cd3 0.000 0.000 0.745

Summary:
The calculation puts the size of the total moment at 0.0056 μB per atom. The space group is P4/mmm, No. 123. As for the final energy: -39.7 eV for the cell shown. As for the volume: 22.38 A^3/atom. As for the calculated formation energy: -1.6 eV per formula unit.

---

(4)
Entry from Alexandria: a relaxed structure of Rb3GaSe3 (PBE).

a = 8.397 Å, b = 8.397 Å, c = 8.199 Å
α = 96.85°, β = 96.85°, γ = 113.09°
Fractional positions:
Rb1 0.179 0.821 0.000
Rb2 0.244 0.756 0.500
Rb3 0.390 0.390 0.151
Rb4 0.610 0.610 0.849
Rb5 0.756 0.244 0.500
Rb6 0.821 0.179 0.000
Ga1 0.167 0.167 0.650
Ga2 0.833 0.833 0.350
Se1 0.101 0.101 0.335
Se2 0.151 0.434 0.774
Se3 0.434 0.151 0.774
Se4 0.566 0.849 0.226
Se5 0.849 0.566 0.226
Se6 0.899 0.899 0.665

Summary:
The calculation puts the size of the total moment at 0.0000 μB per atom. The space group is C2/m, No. 12. As for the final energy: -47.9 eV for the cell shown. As for the volume: 37.08 A^3/atom. Its uncorrected formation energy is -1.08 eV per atom.

---

(5)
Entry from Alexandria: a relaxed structure of Hf2Zr4Pa (PBE).

a = 3.125 Å, b = 5.348 Å, c = 9.995 Å
α = 74.76°, β = 89.49°, γ = 89.92°
Fractional positions:
Hf1 0.239 0.070 0.359
Hf2 0.761 0.930 0.641
Zr1 0.203 0.794 0.928
Zr2 0.473 0.363 0.773
Zr3 0.527 0.637 0.227
Zr4 0.797 0.206 0.072
Pa1 0.000 0.500 0.500

Summary:
The calculation puts the size of the total moment at 0.0000 μB per atom. The space group is P-1, No. 2. As for the final energy: -63.1 eV for the cell shown. As for the volume: 23.02 A^3/atom. As for the calculated formation energy: 0.5 eV per formula unit.

---

(6)
Entry from Alexandria: a relaxed structure of KAgPt2 (PBE).

a = 5.477 Å, b = 5.477 Å, c = 5.477 Å
α = 136.31°, β = 136.31°, γ = 63.51°
Fractional positions:
K1 0.000 0.000 0.000
Ag1 0.500 0.500 0.000
Pt1 0.250 0.750 0.500
Pt2 0.750 0.250 0.500

Summary:
The calculation puts the size of the total moment at 0.0000 μB per atom. The space group is I4/mmm, No. 139. As for the final energy: -14.6 eV for the cell shown. As for the volume: 19.34 A^3/atom. As for the calculated formation energy: 1.4 eV per formula unit.

---

(7)
Entry from Alexandria: a relaxed structure of NaCdTcO4 (PBE).

a = 6.763 Å, b = 6.763 Å, c = 6.763 Å
α = 125.14°, β = 114.07°, γ = 90.95°
Fractional positions:
Na1 0.000 0.000 0.000
Na2 0.500 0.000 0.500
Cd1 0.500 0.000 0.000
Cd2 0.500 0.500 0.500
Tc1 0.125 0.375 0.750
Tc2 0.875 0.625 0.250
O1 0.180 0.731 0.449
O2 0.218 0.269 0.949
O3 0.242 0.263 0.520
O4 0.242 0.722 0.980
O5 0.758 0.278 0.020
O6 0.758 0.737 0.480
O7 0.782 0.731 0.051
O8 0.820 0.269 0.551

Summary:
The calculation puts the size of the total moment at 0.0000 μB per atom. The space group is Imma, No. 74. As for the final energy: -83.0 eV for the cell shown. As for the volume: 15.53 A^3/atom. Its uncorrected formation energy is -1.29 eV per atom.

---

(8)
Entry from Alexandria: a relaxed structure of CsNd4Tl5 (PBE).

a = 3.961 Å, b = 3.961 Å, c = 20.915 Å
α = 90.00°, β = 90.00°, γ = 90.00°
Fractional positions:
Cs1 0.000 0.000 0.000
Nd1 0.000 0.000 0.222
Nd2 0.000 0.000 0.407
Nd3 0.000 0.000 0.593
Nd4 0.000 0.000 0.778
Tl1 0.500 0.500 0.139
Tl2 0.500 0.500 0.316
Tl3 0.500 0.500 0.500
Tl4 0.500 0.500 0.684
Tl5 0.500 0.500 0.861

Summary:
The calculation puts the size of the total moment at 0.0000 μB per atom. The space group is P4/mmm, No. 123. As for the final energy: -34.8 eV for the cell shown. As for the volume: 32.81 A^3/atom. As for the calculated formation energy: -3.1 eV per formula unit.

---

(9)
Entry from Alexandria: a relaxed structure of IrAu3 (PBE).

a = 2.815 Å, b = 4.939 Å, c = 4.972 Å
α = 90.00°, β = 90.85°, γ = 90.00°
Fractional positions:
Ir1 0.000 0.000 0.000
Au1 0.251 0.500 0.754
Au2 0.500 0.000 0.500
Au3 0.749 0.500 0.246

Summary:
The calculation puts the size of the total moment at 0.0621 μB per atom. The space group is P2/m, No. 10. As for the final energy: -17.3 eV for the cell shown. As for the volume: 17.28 A^3/atom. As for the calculated formation energy: 1.4 eV per formula unit.

---

(10)
Entry from Alexandria: a relaxed structure of IrPb (PBE).

a = 5.765 Å, b = 5.765 Å, c = 5.765 Å
α = 139.67°, β = 139.67°, γ = 58.36°
Fractional positions:
Ir1 0.375 0.625 0.750
Ir2 0.625 0.375 0.250
Pb1 0.125 0.875 0.250
Pb2 0.875 0.125 0.750

Summary:
The calculation puts the size of the total moment at 0.0000 μB per atom. The space group is I4_1/amd, No. 141. As for the final energy: -22.7 eV for the cell shown. As for the volume: 19.88 A^3/atom. As for the calculated formation energy: 1.2 eV per formula unit.

---

(11)
Entry from Alexandria: a relaxed structure of Sm2Al4GaCu3 (PBE).

a = 4.218 Å, b = 4.218 Å, c = 10.254 Å
α = 90.00°, β = 90.00°, γ = 90.00°
Fractional positions:
Sm1 0.000 0.500 0.249
Sm2 0.500 0.000 0.751
Al1 0.000 0.000 0.000
Al2 0.000 0.500 0.640
Al3 0.500 0.000 0.360
Al4 0.500 0.500 0.000
Ga1 0.000 0.000 0.500
Cu1 0.000 0.500 0.873
Cu2 0.500 0.000 0.127
Cu3 0.500 0.500 0.500

Summary:
The calculation puts the size of the total moment at 0.0000 μB per atom. The space group is P-4m2, No. 115. As for the final energy: -44.2 eV for the cell shown. As for the volume: 18.24 A^3/atom. As for the calculated formation energy: -4.5 eV per formula unit.

---

(12)
Entry from Alexandria: a relaxed structure of Ba4CaGa4 (PBE).

a = 8.969 Å, b = 8.969 Å, c = 8.704 Å
α = 90.00°, β = 90.00°, γ = 90.00°
Fractional positions:
Ba1 0.034 0.659 0.146
Ba2 0.159 0.966 0.646
Ba3 0.341 0.534 0.646
Ba4 0.466 0.841 0.146
Ba5 0.534 0.159 0.854
Ba6 0.659 0.466 0.354
Ba7 0.841 0.034 0.354
Ba8 0.966 0.341 0.854
Ca1 0.250 0.250 0.250
Ca2 0.750 0.750 0.750
Ga1 0.012 0.365 0.469
Ga2 0.135 0.012 0.031
Ga3 0.365 0.488 0.031
Ga4 0.488 0.135 0.469
Ga5 0.512 0.865 0.531
Ga6 0.635 0.512 0.969
Ga7 0.865 0.988 0.969
Ga8 0.988 0.635 0.531

Summary:
The calculation puts the size of the total moment at 0.0000 μB per atom. The space group is P4_2/n, No. 86. As for the final energy: -47.9 eV for the cell shown. As for the volume: 38.90 A^3/atom. As for the calculated formation energy: -2.2 eV per formula unit.

---

Repeat the seventh record exactly.
Entry from Alexandria: a relaxed structure of NaCdTcO4 (PBE).

a = 6.763 Å, b = 6.763 Å, c = 6.763 Å
α = 125.14°, β = 114.07°, γ = 90.95°
Fractional positions:
Na1 0.000 0.000 0.000
Na2 0.500 0.000 0.500
Cd1 0.500 0.000 0.000
Cd2 0.500 0.500 0.500
Tc1 0.125 0.375 0.750
Tc2 0.875 0.625 0.250
O1 0.180 0.731 0.449
O2 0.218 0.269 0.949
O3 0.242 0.263 0.520
O4 0.242 0.722 0.980
O5 0.758 0.278 0.020
O6 0.758 0.737 0.480
O7 0.782 0.731 0.051
O8 0.820 0.269 0.551

Summary:
The calculation puts the size of the total moment at 0.0000 μB per atom. The space group is Imma, No. 74. As for the final energy: -83.0 eV for the cell shown. As for the volume: 15.53 A^3/atom. Its uncorrected formation energy is -1.29 eV per atom.

---

Question: Which formula does entry 11 have?
Answer: Sm2Al4GaCu3